DFT (GGA-PBE) results for Mg8TlHg3 after structural relaxation.

SG = Fmmm, No. 69
total moment = 0.00 μB/cell
calculated volume = 25.17 Å³/atom
energy of formation = -1.13 eV per formula unit

a b c (Å): 8.2368 8.2311 6.6966
angles (deg): 66.05 65.96 47.99
Closest atoms and distances in Å follow each position.
Positions (direct):
Mg: 0.1182 0.6264 0.3736  3 Hg 2.88-2.90, 1 Tl 2.96
Mg: 0.1184 0.6270 0.8816  3 Hg 2.89, 1 Tl 2.95
Mg: 0.3730 0.8816 0.6270  3 Hg 2.89, 1 Tl 2.95
Mg: 0.3736 0.8818 0.1182  3 Hg 2.88-2.90, 1 Tl 2.96
Mg: 0.6264 0.1182 0.8818  3 Hg 2.88-2.90, 1 Tl 2.96
Mg: 0.6270 0.1184 0.3730  3 Hg 2.89, 1 Tl 2.95
Mg: 0.8816 0.3730 0.1184  3 Hg 2.89, 1 Tl 2.95
Mg: 0.8818 0.3736 0.6264  3 Hg 2.88-2.90, 1 Tl 2.96
Tl: 0.5000 0.5000 0.5000  8 Mg 2.95-2.96
Hg: 0.0000 0.0000 0.0000  8 Mg 2.89-2.90
Hg: 0.2500 0.2500 0.2500  8 Mg 2.88-2.89
Hg: 0.7500 0.7500 0.7500  8 Mg 2.88-2.89



DFT (GGA-PBE) results for MgTl2Hg2 after structural relaxation.

SG = I4/mmm, No. 139
total moment = 0.00 μB/cell
calculated volume = 29.96 Å³/atom
energy of formation = 0.66 eV per formula unit

a b c (Å): 8.6437 8.6437 8.6437
angles (deg): 151.17 151.17 41.22
Closest atoms and distances in Å follow each position.
Positions (direct):
Mg: 0.0000 0.0000 0.0000  8 Hg 3.37
Tl: 0.2500 0.7500 0.5000  4 Tl 3.04, 4 Hg 3.38
Tl: 0.7500 0.2500 0.5000  4 Tl 3.04, 4 Hg 3.38
Hg: 0.4111 0.4111 0.0000  1 Hg 2.88
Hg: 0.5889 0.5889 0.0000  1 Hg 2.88



DFT (GGA-PBE) results for MgTlHg2 after structural relaxation.

SG = C2/m, No. 12
total moment = 0.00 μB/cell
calculated volume = 25.48 Å³/atom
energy of formation = -0.21 eV per formula unit

a b c (Å): 5.1257 5.1257 3.9110
angles (deg): 90.15 90.15 97.36
Closest atoms and distances in Å follow each position.
Positions (direct):
Mg: 0.0000 0.0000 0.0000  8 Hg 3.22-3.23, 2 Tl 3.38
Tl: 0.5000 0.5000 0.0000  8 Hg 3.22-3.23, 2 Mg 3.38
Hg: 0.0000 0.5000 0.5000  4 Tl 3.22-3.23, 4 Mg 3.22-3.23, 2 Hg 3.38
Hg: 0.5000 0.0000 0.5000  4 Tl 3.22-3.23, 4 Mg 3.22-3.23, 2 Hg 3.38



DFT (GGA-PBE) results for MgTlHg2 after structural relaxation.

SG = R-3m, No. 166
total moment = 0.00 μB/cell
calculated volume = 25.35 Å³/atom
energy of formation = -0.28 eV per formula unit

a b c (Å): 9.6804 9.6804 9.6804
angles (deg): 20.93 20.93 20.93
Closest atoms and distances in Å follow each position.
Positions (direct):
Mg: 0.0000 0.0000 0.0000  6 Hg 2.93
Tl: 0.5000 0.5000 0.5000  6 Hg 3.31, 6 Tl 3.52
Hg: 0.2587 0.2587 0.2587  3 Mg 2.93
Hg: 0.7413 0.7413 0.7413  3 Mg 2.93



DFT (GGA-PBE) results for MgTlHg2 after structural relaxation.

SG = R3m, No. 160
total moment = 0.00 μB/cell
calculated volume = 25.46 Å³/atom
energy of formation = -0.25 eV per formula unit

a b c (Å): 9.9496 9.9496 9.9496
angles (deg): 20.11 20.11 20.11
Closest atoms and distances in Å follow each position.
Positions (direct):
Mg: 0.0000 0.0000 0.0000  6 Hg 2.98
Tl: 0.1673 0.1673 0.1673  6 Hg 3.33-3.35, 6 Tl 3.47
Hg: 0.4087 0.4087 0.4087  3 Mg 2.98
Hg: 0.5915 0.5915 0.5915  3 Mg 2.98, 3 Tl 3.33



DFT (GGA-PBE) results for MgTl2ZnHg6 after structural relaxation.

SG = P-1, No. 2
total moment = 0.00 μB/cell
calculated volume = 26.04 Å³/atom
energy of formation = -0.07 eV per formula unit

a b c (Å): 6.1790 6.4534 6.6478
angles (deg): 79.75 88.90 86.50
Closest atoms and distances in Å follow each position.
Positions (direct):
Mg: 0.0000 0.0000 0.0000  6 Hg 2.90-2.93
Tl: 0.2631 0.3992 0.1226  1 Zn 3.11, 5 Hg 3.30-3.46, 1 Mg 3.35
Tl: 0.7369 0.6008 0.8774  1 Zn 3.11, 5 Hg 3.30-3.46, 1 Mg 3.35
Zn: 0.5000 0.5000 0.5000  6 Hg 2.86-2.88, 2 Tl 3.11
Hg: 0.1155 0.2894 0.6331  1 Zn 2.86, 1 Mg 2.90
Hg: 0.2286 0.7842 0.6983  1 Zn 2.88, 1 Mg 2.93, 1 Hg 3.21
Hg: 0.4027 0.8899 0.2276  1 Zn 2.86, 1 Mg 2.92
Hg: 0.5973 0.1101 0.7724  1 Zn 2.86, 1 Mg 2.92
Hg: 0.7714 0.2158 0.3017  1 Zn 2.88, 1 Mg 2.93, 1 Hg 3.21
Hg: 0.8845 0.7106 0.3669  1 Zn 2.86, 1 Mg 2.90



DFT (GGA-PBE) results for MgTlZnHg after structural relaxation.

SG = F-43m, No. 216
total moment = 0.00 μB/cell
calculated volume = 22.54 Å³/atom
energy of formation = 0.12 eV per formula unit

a b c (Å): 5.0331 5.0331 5.0331
angles (deg): 60.00 60.00 60.00
Closest atoms and distances in Å follow each position.
Positions (direct):
Mg: 0.0000 0.0000 0.0000  4 Hg 3.08, 4 Tl 3.08
Tl: 0.7500 0.7500 0.7500  4 Mg 3.08, 4 Zn 3.08
Zn: 0.5000 0.5000 0.5000  4 Hg 3.08, 4 Tl 3.08
Hg: 0.2500 0.2500 0.2500  4 Mg 3.08, 4 Zn 3.08



DFT (GGA-PBE) results for MgZrTlHg after structural relaxation.

SG = Pmmm, No. 47
total moment = 0.00 μB/cell
calculated volume = 22.01 Å³/atom
energy of formation = -0.57 eV per formula unit

a b c (Å): 4.2183 4.4965 4.6422
angles (deg): 90.00 90.00 90.00
Closest atoms and distances in Å follow each position.
Positions (direct):
Mg: 0.0000 0.0000 0.0000  4 Hg 3.08, 4 Tl 3.14, 4 Zr 3.23
Zr: 0.0000 0.5000 0.5000  4 Tl 3.08, 4 Hg 3.14, 4 Mg 3.23
Tl: 0.5000 0.0000 0.5000  4 Zr 3.08, 4 Mg 3.14, 4 Hg 3.23
Hg: 0.5000 0.5000 0.0000  4 Mg 3.08, 4 Zr 3.14, 4 Tl 3.23



DFT (GGA-PBE) results for MgZrTlHg after structural relaxation.

SG = F-43m, No. 216
total moment = 0.00 μB/cell
calculated volume = 22.50 Å³/atom
energy of formation = 0.01 eV per formula unit

a b c (Å): 5.0299 5.0299 5.0299
angles (deg): 60.00 60.00 60.00
Closest atoms and distances in Å follow each position.
Positions (direct):
Mg: 0.0000 0.0000 0.0000  4 Hg 3.08, 4 Tl 3.08
Zr: 0.5000 0.5000 0.5000  4 Hg 3.08, 4 Tl 3.08
Tl: 0.2500 0.2500 0.2500  4 Zr 3.08, 4 Mg 3.08
Hg: 0.7500 0.7500 0.7500  4 Zr 3.08, 4 Mg 3.08



DFT (GGA-PBE) results for TmMgHg3 after structural relaxation.

SG = C2/m, No. 12
total moment = 0.00 μB/cell
calculated volume = 25.12 Å³/atom
energy of formation = -0.79 eV per formula unit

a b c (Å): 9.7498 9.7498 5.1953
angles (deg): 104.75 104.75 31.84
Closest atoms and distances in Å follow each position.
Positions (direct):
Tm: 0.1111 0.1111 0.3683  7 Hg 2.99-3.26
Tm: 0.8889 0.8889 0.6317  7 Hg 2.99-3.26
Mg: 0.3776 0.3776 0.1252  7 Hg 2.83-3.08
Mg: 0.6224 0.6224 0.8748  7 Hg 2.83-3.08
Hg: 0.1938 0.1938 0.9466  3 Mg 2.97-3.32, 2 Tm 2.99-3.00, 2 Hg 3.14
Hg: 0.2915 0.2915 0.5400  2 Mg 3.02-3.04, 5 Hg 3.07-3.15, 3 Tm 3.20-3.26
Hg: 0.4658 0.4658 0.7163  3 Mg 2.83-3.08, 3 Hg 2.87-3.15, 2 Tm 3.02
Hg: 0.5342 0.5342 0.2837  3 Mg 2.83-3.08, 3 Hg 2.87-3.15, 2 Tm 3.02
Hg: 0.7085 0.7085 0.4600  2 Mg 3.02-3.04, 5 Hg 3.07-3.15, 3 Tm 3.20-3.26
Hg: 0.8062 0.8062 0.0534  3 Mg 2.97-3.32, 2 Tm 2.99-3.00, 2 Hg 3.14



DFT (GGA-PBE) results for Tm3MgHg2 after structural relaxation.

SG = P4/mmm, No. 123
total moment = 0.00 μB/cell
calculated volume = 25.22 Å³/atom
energy of formation = -2.05 eV per formula unit

a b c (Å): 3.7186 3.7186 10.9417
angles (deg): 90.00 90.00 90.00
Closest atoms and distances in Å follow each position.
Positions (direct):
Tm: 0.0000 0.0000 0.0000  8 Hg 3.23, 2 Tm 3.59
Tm: 0.0000 0.0000 0.3281  4 Hg 3.14, 4 Mg 3.23
Tm: 0.0000 0.0000 0.6719  4 Hg 3.14, 4 Mg 3.23
Mg: 0.5000 0.5000 0.5000  8 Tm 3.23, 2 Hg 3.59
Hg: 0.5000 0.5000 0.1716  8 Tm 3.14-3.23
Hg: 0.5000 0.5000 0.8284  8 Tm 3.14-3.23



DFT (GGA-PBE) results for Tm4MgHg5 after structural relaxation.

SG = P4/mmm, No. 123
total moment = 0.00 μB/cell
calculated volume = 24.06 Å³/atom
energy of formation = -4.36 eV per formula unit

a b c (Å): 3.6423 3.6423 18.1331
angles (deg): 90.00 90.00 90.00
Closest atoms and distances in Å follow each position.
Positions (direct):
Tm: 0.0000 0.0000 0.1027  8 Hg 3.16-3.18
Tm: 0.0000 0.0000 0.3072  8 Hg 3.15-3.19, 1 Mg 3.50
Tm: 0.0000 0.0000 0.6928  8 Hg 3.15-3.19, 1 Mg 3.50
Tm: 0.0000 0.0000 0.8973  8 Hg 3.16-3.18
Mg: 0.0000 0.0000 0.5000  8 Hg 3.08
Hg: 0.5000 0.5000 0.0000  8 Tm 3.18
Hg: 0.5000 0.5000 0.2035  8 Tm 3.16-3.19
Hg: 0.5000 0.5000 0.4072  4 Mg 3.08, 4 Tm 3.15, 1 Hg 3.37
Hg: 0.5000 0.5000 0.5928  4 Mg 3.08, 4 Tm 3.15, 1 Hg 3.37
Hg: 0.5000 0.5000 0.7965  8 Tm 3.16-3.19



> The lowest energy of formation belongs to which entry?

Tm4MgHg5